Density functional theory data (PBE) for a geometry-optimized CsYPb3 structure.

## Properties
N(E_F) in states/eV per cell: 3.4
Energy of formation from the pure elements in eV/atom: 0.029
Electronic total energy in eV per formula unit: -18.30

abc: 6.0306 6.0306 6.0306
angles: 90.00 90.00 90.00
Space group Pm-3m (No. 221)
One atom of each set of equivalent atoms:
1 Cs 0.0000 0.0000 0.0000 x1
2 Y 0.5000 0.5000 0.5000 x1
3 Pb 0.0000 0.5000 0.5000 x3

***

Density functional theory data (PBE) for a geometry-optimized CsYPb structure.

## Properties
N(E_F) in states/eV per cell: 4.8
Energy of formation from the pure elements in eV/atom: -0.202
Electronic total energy in eV per formula unit: -11.63

abc: 4.6370 4.3284 14.7450
angles: 90.00 98.84 90.00
Space group P2_1/m (No. 11)
One atom of each set of equivalent atoms:
1 Cs 0.1683 0.2500 0.3401 x2
2 Y 0.4548 0.7500 0.9075 x2
3 Pb 0.0482 0.7500 0.0988 x2